No. 1
SmBiRh: optimized geometry, PBE.

```
SmBiRh
1.0
-3.506 1.375 -0.996
-1.031 -3.540 -1.258
0.559 -0.018 5.626
Rh Bi Sm
1 1 1
direct
0.982 0.982 0.964
0.278 0.278 0.555
0.590 0.590 0.181
```

Properties
For the total energy, the calculation gives -5.714 eV/atom. The total magnetic moment is 0.00 μB/cell. For the formation energy, the calculation gives -396 meV/atom.


No. 2
LiNpRh3: optimized geometry, PBE.

```
LiNpRh3
1.0
-1.190 -4.087 1.588
5.139 -1.945 -1.155
2.040 1.773 6.091
Li Np Rh
2 2 6
direct
0.500 0.000 0.145
0.000 0.500 0.855
0.000 0.000 0.552
0.500 0.500 0.448
0.000 0.740 0.253
0.500 0.760 0.747
0.500 0.240 0.747
0.000 0.260 0.253
0.000 0.000 0.904
0.500 0.500 0.096
```

Properties
Its energy relative to the lowest polymorph listed for this composition is 0.010 eV per atom. For the total energy, the calculation gives -7.650 eV/atom. The total magnetic moment is 3.49 μB/cell. For the formation energy, the calculation gives -268 meV/atom.


No. 3
RbPuSn: optimized geometry, PBE.

```
RbPuSn
1.0
-1.268 -2.770 2.010
3.864 0.879 0.336
-4.634 10.137 11.046
Sn Rb Pu
2 2 2
direct
0.111 0.221 0.827
0.889 0.779 0.173
0.379 0.758 0.644
0.621 0.242 0.356
0.168 0.335 0.028
0.832 0.665 0.972
```

Properties
For the total energy, the calculation gives -6.313 eV/atom. The total magnetic moment is 1.29 μB/cell. For the formation energy, the calculation gives 121 meV/atom.


No. 4
Co4Ni3Mo: optimized geometry, PBE.

```
Co4Ni3Mo
1.0
-1.228 1.344 1.766
-2.428 -3.561 1.023
9.940 2.557 3.143
Ni Mo Co
3 1 4
direct
0.000 0.500 0.000
0.128 0.206 0.257
0.872 0.794 0.743
0.500 0.000 0.000
0.372 0.283 0.743
0.628 0.717 0.257
0.750 0.755 0.499
0.250 0.245 0.501
```

Properties
For the total energy, the calculation gives -7.018 eV/atom. The total magnetic moment is 7.30 μB/cell. For the formation energy, the calculation gives 57 meV/atom.


No. 5
Tl5Pb4: optimized geometry, PBE.

```
Tl5Pb4
1.0
4.877 0.000 0.000
2.438 7.584 0.000
2.438 0.000 7.584
Tl Pb
5 4
direct
0.000 0.000 0.000
0.333 0.000 0.333
0.667 0.000 0.667
0.333 0.333 0.000
0.667 0.667 0.000
0.000 0.337 0.663
0.000 0.663 0.337
0.337 0.663 0.663
0.663 0.337 0.337
```

Properties
Its energy relative to the lowest polymorph listed for this composition is 0.000 eV per atom. For the total energy, the calculation gives -2.970 eV/atom. The total magnetic moment is 0.00 μB/cell. For the formation energy, the calculation gives -7 meV/atom.


No. 6
Pr2AsPt: optimized geometry, PBE.

```
Pr2AsPt
1.0
4.267 0.000 0.000
2.133 3.695 0.000
2.133 1.232 8.700
Pr As Pt
2 1 1
direct
0.103 0.103 0.691
0.897 0.897 0.309
0.500 0.500 0.500
0.000 0.000 0.000
```

Properties
Its energy relative to the lowest polymorph listed for this composition is 0.800 eV per atom. For the total energy, the calculation gives -5.497 eV/atom. The total magnetic moment is 0.00 μB/cell. For the formation energy, the calculation gives -435 meV/atom.